(1)
Compound: Rb2GaRhBr6
Source: Alexandria
Functional: PBE
Structure: relaxed

```
Rb2GaRhBr6
1.0
-6.1097 4.0957 -2.0184
-3.9334 -3.0085 5.8012
-3.3839 4.5602 5.0848
Br Rh Rb Ga
6 1 2 1
Direct
0.2363 0.2363 0.5274 Br
0.7642 0.2358 0.0000 Br
0.2358 0.7642 0.0000 Br
0.7637 0.7637 0.4726 Br
0.2358 0.2358 0.0000 Br
0.7642 0.7642 0.0000 Br
0.0000 0.0000 0.0000 Rh
0.2500 0.7500 0.5000 Rb
0.7500 0.2500 0.5000 Rb
0.5000 0.5000 0.0000 Ga
```

Calculated values
ΔE_f (raw)	-985.5	meV/atom
uncorrected energy	-0.23671	Ry/atom

(2)
Compound: KSrHgTe2
Source: Alexandria
Functional: PBE
Structure: relaxed

```
KSrHgTe2
1.0
5.8028 0.0000 0.0000
0.0000 7.6001 0.6408
0.0000 -1.7166 8.8822
Te K Hg Sr
4 2 2 2
Direct
0.3594 0.2992 0.0209 Te
0.3594 0.7008 0.4791 Te
0.6406 0.2992 0.5209 Te
0.6406 0.7008 0.9791 Te
0.9200 0.5000 0.2500 K
0.0800 0.5000 0.7500 K
0.0000 0.0000 0.5000 Hg
0.0000 0.0000 0.0000 Hg
0.5137 0.0000 0.7500 Sr
0.4863 0.0000 0.2500 Sr
```

Calculated values
ΔE_f (raw)	-838.5	meV/atom
uncorrected energy	-0.19929	Ry/atom

(3)
Compound: GaSeN2
Source: Alexandria
Functional: PBE
Structure: relaxed

```
GaSeN2
1.0
0.0000 2.8199 2.8199
2.8199 0.0000 2.8199
2.8199 2.8199 0.0000
N Ga Se
2 1 1
Direct
0.7500 0.7500 0.7500 N
0.2500 0.2500 0.2500 N
0.0000 0.0000 0.0000 Ga
0.5000 0.5000 0.5000 Se
```

Calculated values
distance to the lowest polymorph of the same formula	1.064	eV/atom
ΔE_f (raw)	1660.1	meV/atom
uncorrected energy	-0.30358	Ry/atom

(4)
Compound: MgAlAg
Source: Alexandria
Functional: PBE
Structure: relaxed

```
MgAlAg
1.0
-2.9397 4.0590 1.9018
-1.7959 -2.4712 -4.4048
0.3105 -4.6048 2.7264
Ag Mg Al
2 2 2
Direct
0.0000 0.5000 0.5000 Ag
0.5000 0.0000 0.5000 Ag
0.2500 0.1248 0.8748 Mg
0.7500 0.8752 0.1252 Mg
0.5000 0.5000 0.5000 Al
0.0000 0.5000 0.0000 Al
```

Calculated values
DFT formation energy	-0.132	eV per atom
uncorrected energy	-0.21033	Ry/atom